Material: YCoRe
Method: DFT, PBE
State: relaxed

Results
For the density, the calculation gives 9.5 g/cm³. Its total energy is -8.585 eV per atom.

a = 3.973 Å, b = 3.973 Å, c = 4.279 Å
α = 90.00°, β = 90.00°, γ = 120.00°
Positions (direct):
Y  0.000  0.000  0.000
Co  0.333  0.667  0.500
Re  0.667  0.333  0.500